## one
A geometry-optimized CuBiH structure, computed with PBE.

Unit cell a=4.359 b=4.359 c=6.709 alpha=90.00 beta=90.00 gamma=90.00
Space group P4/nmm (No. 129, origin choice 2)
Unique sites:
Cu 0.250 0.750 0.000
Bi 0.250 0.250 0.228
H 0.250 0.250 0.502

## two
A geometry-optimized CuBiH structure, computed with PBE.

Unit cell a=4.138 b=4.909 c=5.688 alpha=115.04 beta=101.65 gamma=90.08
Space group P-1 (No. 2)
Unique sites:
Cu 0.001 0.252 0.004
Bi 0.391 0.332 0.667
H 0.167 0.932 0.856

Stability summary: most stable two, least stable one.

## one
A geometry-optimized CuBiH2 structure, computed with PBE.

Unit cell a=5.941 b=5.941 c=6.092 alpha=90.00 beta=90.00 gamma=90.00
Space group I-42d (No. 122)
Unique sites:
Cu 0.000 0.000 0.000
Bi 0.000 0.000 0.500
H 0.002 0.750 0.125

## two
A geometry-optimized CuBiH2 structure, computed with PBE.

Unit cell a=5.829 b=5.829 c=5.829 alpha=90.00 beta=90.00 gamma=90.00
Space group Fm-3m (No. 225)
Unique sites:
Cu 0.000 0.000 0.000
Bi 0.000 0.000 0.500
H 0.250 0.250 0.250

Stability summary: most stable one, least stable two.

## one
A geometry-optimized Cu3BiH structure, computed with PBE.

Unit cell a=5.070 b=5.070 c=5.070 alpha=90.00 beta=90.00 gamma=90.00
Space group Pm-3m (No. 221)
Unique sites:
Cu 0.000 0.000 0.500
Bi 0.000 0.000 0.000
H 0.500 0.500 0.500

## two
A geometry-optimized Cu3BiH structure, computed with PBE.

Unit cell a=4.079 b=4.079 c=4.079 alpha=90.00 beta=90.00 gamma=90.00
Space group Pm-3m (No. 221)
Unique sites:
Cu 0.000 0.000 0.500
Bi 0.500 0.500 0.500
H 0.000 0.000 0.000

Stability summary: most stable two, least stable one.

## one
A geometry-optimized Zr2CuBiH structure, computed with PBE.

Unit cell a=5.666 b=5.666 c=3.555 alpha=90.00 beta=90.00 gamma=90.00
Space group P4/mmm (No. 123)
Unique sites:
Zr 0.000 0.500 0.000
Cu 0.000 0.000 0.500
Bi 0.500 0.500 0.000
H 0.500 0.500 0.500

## two
A geometry-optimized Zr2CuBiH structure, computed with PBE.

Unit cell a=4.410 b=4.410 c=4.338 alpha=90.00 beta=90.00 gamma=90.00
Space group P4/mmm (No. 123)
Unique sites:
Zr 0.000 0.500 0.000
Cu 0.000 0.000 0.500
Bi 0.500 0.500 0.500
H 0.000 0.000 0.000

Stability summary: most stable two, least stable one.

## one
A geometry-optimized Hf2CuBi2 structure, computed with PBE.

Unit cell a=7.807 b=7.807 c=3.889 alpha=90.00 beta=90.00 gamma=90.00
Space group P4/mbm (No. 127)
Unique sites:
Hf 0.140 0.360 0.000
Cu 0.000 0.000 0.500
Bi 0.160 0.660 0.500

## two
A geometry-optimized Hf2CuBi2 structure, computed with PBE.

Unit cell a=7.563 b=7.563 c=4.125 alpha=90.00 beta=90.00 gamma=90.00
Space group P4/mbm (No. 127)
Unique sites:
Hf 0.146 0.354 0.000
Cu 0.000 0.000 0.000
Bi 0.160 0.660 0.500

Stability summary: most stable two, least stable one.

## one
A geometry-optimized Hf2Cu2Bi structure, computed with PBE.

Unit cell a=6.885 b=6.885 c=3.968 alpha=90.00 beta=90.00 gamma=90.00
Space group P4/mbm (No. 127)
Unique sites:
Hf 0.162 0.338 0.000
Cu 0.122 0.622 0.500
Bi 0.000 0.000 0.500

## two
A geometry-optimized Hf2Cu2Bi structure, computed with PBE.

Unit cell a=7.796 b=7.796 c=3.295 alpha=90.00 beta=90.00 gamma=90.00
Space group P4/mbm (No. 127)
Unique sites:
Hf 0.154 0.346 0.000
Cu 0.133 0.633 0.500
Bi 0.000 0.000 0.000

Stability summary: most stable one, least stable two.